An optimized crystal structure of Pr2NdTh3Bi6, computed with PBE.

Summary:
total energy: -5.7607 eV/atom
ΔE_f: -771 meV/atom

abc: 4.6151 9.2174 10.3245
angles: 102.94 102.91 90.00
Fractional positions:
Pr 0.8334 0.6670 0.6669
Pr 0.1666 0.3330 0.3331
Nd 0.5000 0.0000 0.0000
Th 0.5000 0.5000 0.0000
Th 0.8330 0.1669 0.6660
Th 0.1670 0.8331 0.3340
Bi 0.3334 0.9189 0.6667
Bi 0.6661 0.5845 0.3321
Bi 0.6666 0.0811 0.3333
Bi 0.9992 0.2501 0.9985
Bi 0.0008 0.7499 0.0015
Bi 0.3339 0.4155 0.6679